Cd5W3 | PBE | optimized geometry

Properties
The calculation puts the formation energy at 0.918 eV per atom. The energy above the lowest structure with this stoichiometry comes out at 30.2 kJ per mole of atoms. As for the density: 11.7 Mg/m³.

a b c (Å): 8.5204 8.5204 5.0368
angles (deg): 90.00 90.00 120.00
Fractional positions:
Cd1 0.0000 0.2239 0.2500
Cd2 0.0000 0.7761 0.7500
Cd3 0.2239 0.0000 0.2500
Cd4 0.2239 0.2239 0.7500
Cd5 0.3333 0.6667 0.0000
Cd6 0.3333 0.6667 0.5000
Cd7 0.6667 0.3333 0.0000
Cd8 0.6667 0.3333 0.5000
Cd9 0.7761 0.0000 0.7500
Cd10 0.7761 0.7761 0.2500
W1 0.0000 0.4234 0.7500
W2 0.0000 0.5766 0.2500
W3 0.4234 0.0000 0.7500
W4 0.4234 0.4234 0.2500
W5 0.5766 0.0000 0.2500
W6 0.5766 0.5766 0.7500